Record 1
A plane-wave DFT calculation with PBE was carried out for a relaxed structure of TiMnN2.

## Properties
For the density, the calculation gives 5.83 Mg/m³. The calculation puts the energy at -9.270 eV/atom. The value obtained for the formation energy (no corrections) is -841 meV per atom.

a b c (Å): 5.0287 2.9259 5.0656
angles (deg): 90.00 90.20 90.00
Space group C2/m (No. 12)
Symmetry-distinct sites (fractional):
Ti 0.0000 0.0000 0.0000 x2
Mn 0.0000 0.0000 0.5000 x2
N 0.1670 0.5000 0.2598 x4


Record 2
A plane-wave DFT calculation with PBE was carried out for a relaxed structure of K2SmCl4.

## Properties
For the density, the calculation gives 2.55 Mg/m³. The calculation puts the energy at -3.898 eV/atom. The value obtained for the formation energy (no corrections) is -1855 meV per atom.

a b c (Å): 5.4500 5.4500 16.2148
angles (deg): 90.00 90.00 90.00
Space group I4/mmm (No. 139)
Symmetry-distinct sites (fractional):
K 0.0000 0.0000 0.1406 x4
Sm 0.0000 0.0000 0.5000 x2
Cl 0.0000 0.0000 0.3300 x4
Cl 0.0000 0.5000 0.0000 x4


Record 3
A plane-wave DFT calculation with PBE was carried out for a relaxed structure of Pr2MnSi3Pt12.

## Properties
For the density, the calculation gives 12.81 Mg/m³. The calculation puts the energy at -6.443 eV/atom. The value obtained for the formation energy (no corrections) is -472 meV per atom.

a b c (Å): 8.2434 8.2434 18.2539
angles (deg): 90.00 90.00 120.00
Space group R-3m (No. 166, hexagonal axes)
Symmetry-distinct sites (fractional):
Pr 0.0000 0.0000 0.1120 x6
Mn 0.0000 0.0000 0.5000 x3
Si 0.0000 0.5000 0.0000 x9
Pt 0.0009 0.5004 0.8726 x18
Pt 0.0298 0.5149 0.3682 x18